Material: YCd2Rh
Method: DFT, PBE
State: relaxed

Output
- Spin magnetization: 0.000 μB per cell
- Total energy: -4.078 eV per atom
- ΔE_f: -0.67 eV per formula unit

a b c (Å): 6.0827 6.0827 3.7234
angles (deg): 72.72 72.72 123.93
With the nearest neighbours (Å) after each atom.
Fractional coordinates of all 4 atoms:
Cd  0.0000  0.0000  0.0000  4 Cd 2.86-2.93, 2 Y 3.06, 2 Rh 3.06
Cd  0.5000  0.5000  0.0000  4 Cd 2.86-2.93, 2 Rh 3.06, 2 Y 3.06
Rh  0.5000  0.0000  0.5000  4 Y 2.86-2.93, 4 Cd 3.06
Y  0.0000  0.5000  0.5000  4 Rh 2.86-2.93, 4 Cd 3.06


Material: Y4CdRh
Method: DFT, PBE
State: relaxed

Output
- Spin magnetization: 0.001 μB per cell
- Offset from the most stable computed form: 22.34 kcal/mol of atoms
- Total energy: -5.211 eV per atom
- ΔE_f: 2.86 eV per formula unit

a b c (Å): 6.1149 6.1149 6.1149
angles (deg): 60.00 60.00 60.00
With the nearest neighbours (Å) after each atom.
Fractional coordinates of all 6 atoms:
Y  0.8779  0.3740  0.3740  6 Y 3.03-3.08
Y  0.3740  0.3740  0.8779  6 Y 3.03-3.08
Y  0.3740  0.8779  0.3740  6 Y 3.03-3.08
Y  0.3740  0.3740  0.3740  6 Y 3.03-3.08
Cd  0.7500  0.7500  0.7500  12 Y 3.59, 4 Rh 3.74
Rh  0.0000  0.0000  0.0000  12 Y 3.58, 4 Cd 3.74


Material: Y2ZrCdRh
Method: DFT, PBE
State: relaxed

Output
- Spin magnetization: 1.954 μB per cell
- Total energy: -5.174 eV per atom
- ΔE_f: 3.88 eV per formula unit

a b c (Å): 5.4841 4.8909 5.4841
angles (deg): 90.00 90.00 90.00
With the nearest neighbours (Å) after each atom.
Fractional coordinates of all 5 atoms:
Y  0.0000  0.0000  0.5000  2 Cd 2.74
Y  0.5000  0.0000  0.0000  2 Cd 2.74
Rh  0.0000  0.5000  0.0000  2 Cd 2.45
Zr  0.5000  0.5000  0.5000  8 Y 3.67, 4 Rh 3.88
Cd  0.0000  0.0000  0.0000  2 Rh 2.45


Material: ZnCd4Rh
Method: DFT, PBE
State: relaxed

Output
- Spin magnetization: 0.000 μB per cell
- Total energy: -1.763 eV per atom
- ΔE_f: 1.71 eV per formula unit

a b c (Å): 5.5357 5.5357 5.5357
angles (deg): 60.00 60.00 60.00
With the nearest neighbours (Å) after each atom.
Fractional coordinates of all 6 atoms:
Zn  0.0000  0.0000  0.0000  12 Cd 3.25, 4 Rh 3.39
Cd  0.8739  0.3754  0.3754  6 Cd 2.76-2.78
Cd  0.3754  0.3754  0.8739  6 Cd 2.76-2.78
Cd  0.3754  0.8739  0.3754  6 Cd 2.76-2.78
Cd  0.3754  0.3754  0.3754  6 Cd 2.76-2.78
Rh  0.7500  0.7500  0.7500  12 Cd 3.24, 4 Zn 3.39


Material: Zn2CdRh
Method: DFT, PBE
State: relaxed

Output
- Spin magnetization: 0.000 μB per cell
- Total energy: -2.843 eV per atom
- ΔE_f: -0.56 eV per formula unit

a b c (Å): 3.1648 3.1648 6.4336
angles (deg): 90.00 90.00 90.00
With the nearest neighbours (Å) after each atom.
Fractional coordinates of all 4 atoms:
Cd  0.0000  0.0000  0.5099  4 Rh 2.87, 5 Zn 2.93-3.06, 4 Cd 3.16
Rh  0.5000  0.5000  0.7889  5 Zn 2.57-2.75, 4 Cd 2.87
Zn  0.0000  0.0000  0.9849  4 Rh 2.57, 4 Zn 2.69
Zn  0.5000  0.5000  0.2162  4 Zn 2.69, 1 Rh 2.75, 4 Cd 2.93


Material: Zn2CdRh
Method: DFT, PBE
State: relaxed

Output
- Spin magnetization: 0.000 μB per cell
- Total energy: -2.897 eV per atom
- ΔE_f: -0.77 eV per formula unit

a b c (Å): 4.0143 4.0110 3.8640
angles (deg): 90.00 90.00 90.00
With the nearest neighbours (Å) after each atom.
Fractional coordinates of all 4 atoms:
Zn  0.0000  0.0000  0.0000  4 Rh 2.78, 4 Cd 2.79, 4 Zn 2.84
Zn  0.5000  0.5000  0.0000  4 Cd 2.78, 4 Rh 2.79, 4 Zn 2.84
Rh  0.0000  0.5000  0.5000  8 Zn 2.78-2.79, 4 Cd 2.84
Cd  0.5000  0.0000  0.5000  8 Zn 2.78-2.79, 4 Rh 2.84